No. 1
{
  "formula": "CaMgFeSe2",
  "functional": "GGA-PBE",
  "state": "optimized geometry",
  "crystal_system": "tetragonal",
  "final_energy_ev_per_cell": -19.5,
  "e_form_raw_ev_per_atom": -0.091,
  "n_ef_per_ev_fu": 5.674,
  "cell": [[5.121, 0.000, 0.000], [0.000, 5.121, 0.000], [0.000, 0.000, 4.795]],
  "species": ["Ca", "Mg", "Fe", "Se", "Se"],
  "fractional_positions": [[0.000, 0.000, 0.000], [0.500, 0.500, 0.500], [0.500, 0.500, 0.000], [0.000, 0.500, 0.500], [0.500, 0.000, 0.500]]
}

No. 2
{
  "formula": "CaMgZnFe2",
  "functional": "GGA-PBE",
  "state": "optimized geometry",
  "crystal_system": "tetragonal",
  "final_energy_ev_per_cell": -13.4,
  "n_ef_per_ev_fu": 4.081,
  "cell": [[4.638, 0.000, 0.000], [0.000, 4.638, 0.000], [0.000, 0.000, 5.416]],
  "species": ["Ca", "Mg", "Zn", "Fe", "Fe"],
  "fractional_positions": [[0.000, 0.000, 0.000], [0.000, 0.000, 0.500], [0.500, 0.500, 0.500], [0.000, 0.500, 0.000], [0.500, 0.000, 0.000]]
}

No. 3
{
  "formula": "Ca2Mn2Fe",
  "functional": "GGA-PBE",
  "state": "optimized geometry",
  "crystal_system": "tetragonal",
  "final_energy_ev_per_cell": -27.4,
  "n_ef_per_ev_fu": 6.198,
  "cell": [[-1.588, 1.588, 9.606], [1.588, -1.588, 9.606], [1.588, 1.588, -9.606]],
  "species": ["Ca", "Ca", "Mn", "Mn", "Fe"],
  "fractional_positions": [[0.110, 0.110, 0.000], [0.890, 0.890, 0.000], [0.250, 0.750, 0.500], [0.750, 0.250, 0.500], [0.500, 0.500, 0.000]]
}

No. 4
{
  "formula": "Ca2MnFe",
  "functional": "GGA-PBE",
  "state": "optimized geometry",
  "crystal_system": "orthorhombic",
  "final_energy_ev_per_cell": -19.8,
  "n_ef_per_ev_fu": 4.860,
  "relative_energy_mev_per_atom": 100,
  "cell": [[-1.886, 2.522, 4.804], [1.886, -2.522, 4.804], [1.886, 2.522, -4.804]],
  "species": ["Ca", "Ca", "Mn", "Fe"],
  "fractional_positions": [[0.000, 0.000, 0.000], [0.711, 0.211, 0.500], [0.298, 0.798, 0.500], [0.418, 0.418, 0.000]]
}

No. 5
{
  "formula": "Ca2MnFe",
  "functional": "GGA-PBE",
  "state": "optimized geometry",
  "crystal_system": "cubic",
  "final_energy_ev_per_cell": -19.1,
  "n_ef_per_ev_fu": 12.485,
  "relative_energy_mev_per_atom": 254,
  "cell": [[0.000, 3.612, 3.612], [3.612, 0.000, 3.612], [3.612, 3.612, 0.000]],
  "species": ["Ca", "Ca", "Mn", "Fe"],
  "fractional_positions": [[0.250, 0.250, 0.250], [0.750, 0.750, 0.750], [0.000, 0.000, 0.000], [0.500, 0.500, 0.500]]
}

No. 6
{
  "formula": "Ca2MnFe",
  "functional": "GGA-PBE",
  "state": "optimized geometry",
  "crystal_system": "tetragonal",
  "final_energy_ev_per_cell": -20.2,
  "n_ef_per_ev_fu": 4.153,
  "relative_energy_mev_per_atom": 0,
  "cell": [[3.323, 0.000, 0.000], [0.000, 3.323, 0.000], [0.000, 0.000, 8.307]],
  "species": ["Ca", "Ca", "Mn", "Fe"],
  "fractional_positions": [[0.000, 0.000, 0.000], [0.500, 0.500, 0.396], [0.500, 0.500, 0.746], [0.000, 0.000, 0.646]]
}

No. 7
{
  "formula": "Ca2MnFe",
  "functional": "GGA-PBE",
  "state": "optimized geometry",
  "crystal_system": "orthorhombic",
  "final_energy_ev_per_cell": -20.0,
  "n_ef_per_ev_fu": 3.766,
  "relative_energy_mev_per_atom": 47,
  "cell": [[3.984, 0.000, 0.000], [0.000, 2.182, 5.595], [0.000, -2.182, 5.595]],
  "species": ["Ca", "Ca", "Mn", "Fe"],
  "fractional_positions": [[0.000, 0.000, 0.000], [0.500, 0.285, 0.285], [0.500, 0.584, 0.584], [0.000, 0.702, 0.702]]
}

No. 8
{
  "formula": "Ca2MnFe",
  "functional": "GGA-PBE",
  "state": "optimized geometry",
  "crystal_system": "cubic",
  "final_energy_ev_per_cell": -19.0,
  "n_ef_per_ev_fu": 8.767,
  "relative_energy_mev_per_atom": 285,
  "cell": [[0.000, 3.542, 3.542], [3.542, 0.000, 3.542], [3.542, 3.542, 0.000]],
  "species": ["Ca", "Ca", "Mn", "Fe"],
  "fractional_positions": [[0.000, 0.000, 0.000], [0.250, 0.250, 0.250], [0.500, 0.500, 0.500], [0.750, 0.750, 0.750]]
}

No. 9
{
  "formula": "Ca2MnFe",
  "functional": "GGA-PBE",
  "state": "optimized geometry",
  "crystal_system": "trigonal",
  "final_energy_ev_per_cell": -18.5,
  "n_ef_per_ev_fu": 5.836,
  "relative_energy_mev_per_atom": 422,
  "cell": [[1.677, 0.968, 9.841], [-1.677, 0.968, 9.841], [0.000, -1.936, 9.841]],
  "species": ["Ca", "Ca", "Mn", "Fe"],
  "fractional_positions": [[0.246, 0.246, 0.246], [0.754, 0.754, 0.754], [0.000, 0.000, 0.000], [0.500, 0.500, 0.500]]
}

No. 10
{
  "formula": "Ca2MnFe",
  "functional": "GGA-PBE",
  "state": "optimized geometry",
  "crystal_system": "orthorhombic",
  "final_energy_ev_per_cell": -19.2,
  "n_ef_per_ev_fu": 6.286,
  "relative_energy_mev_per_atom": 243,
  "cell": [[3.458, 0.000, 0.000], [0.000, 3.861, 0.000], [0.000, 0.000, 6.952]],
  "species": ["Ca", "Ca", "Mn", "Fe"],
  "fractional_positions": [[0.000, 0.000, 0.240], [0.000, 0.000, 0.760], [0.500, 0.500, 0.500], [0.500, 0.500, 0.000]]
}

No. 11
{
  "formula": "Ca2MnFe",
  "functional": "GGA-PBE",
  "state": "optimized geometry",
  "crystal_system": "tetragonal",
  "final_energy_ev_per_cell": -36.6,
  "n_ef_per_ev_fu": 7.698,
  "relative_energy_mev_per_atom": 467,
  "cell": [[-3.972, 3.972, 2.985], [3.972, -3.972, 2.985], [3.972, 3.972, -2.985]],
  "species": ["Ca", "Ca", "Ca", "Ca", "Mn", "Mn", "Fe", "Fe"],
  "fractional_positions": [[0.111, 0.625, 0.986], [0.375, 0.361, 0.486], [0.639, 0.125, 0.014], [0.875, 0.889, 0.514], [0.250, 0.750, 0.500], [0.500, 0.500, 0.000], [0.000, 0.000, 0.000], [0.750, 0.250, 0.500]]
}

No. 12
{
  "formula": "CaMnFe",
  "functional": "GGA-PBE",
  "state": "optimized geometry",
  "crystal_system": "hexagonal",
  "final_energy_ev_per_cell": -17.8,
  "n_ef_per_ev_fu": 2.266,
  "cell": [[4.592, 0.000, 0.000], [-2.296, 3.977, 0.000], [0.000, 0.000, 3.047]],
  "species": ["Ca", "Mn", "Fe"],
  "fractional_positions": [[0.000, 0.000, 0.000], [0.667, 0.333, 0.500], [0.333, 0.667, 0.500]]
}

No. 13
{
  "formula": "CaMn4Fe",
  "functional": "GGA-PBE",
  "state": "optimized geometry",
  "crystal_system": "cubic",
  "final_energy_ev_per_cell": -44.1,
  "n_ef_per_ev_fu": 7.406,
  "cell": [[0.000, 3.434, 3.434], [3.434, 0.000, 3.434], [3.434, 3.434, 0.000]],
  "species": ["Ca", "Mn", "Mn", "Mn", "Mn", "Fe"],
  "fractional_positions": [[0.000, 0.000, 0.000], [0.376, 0.376, 0.376], [0.376, 0.376, 0.871], [0.376, 0.871, 0.376], [0.871, 0.376, 0.376], [0.750, 0.750, 0.750]]
}

No. 14
{
  "formula": "Ca2MnFe",
  "functional": "GGA-PBE",
  "state": "optimized geometry",
  "crystal_system": "monoclinic",
  "final_energy_ev_per_cell": -19.8,
  "n_ef_per_ev_fu": 5.109,
  "relative_energy_mev_per_atom": 94,
  "cell": [[5.542, -1.621, 0.000], [5.542, 1.621, 0.000], [-1.786, 0.000, 5.060]],
  "species": ["Ca", "Ca", "Mn", "Fe"],
  "fractional_positions": [[0.000, 0.000, 0.000], [0.195, 0.195, 0.637], [0.775, 0.775, 0.211], [0.435, 0.435, 0.451]]
}

No. 15
{
  "formula": "Ca2MnFe",
  "functional": "GGA-PBE",
  "state": "optimized geometry",
  "crystal_system": "monoclinic",
  "final_energy_ev_per_cell": -18.5,
  "n_ef_per_ev_fu": 5.787,
  "relative_energy_mev_per_atom": 426,
  "cell": [[4.866, -1.605, 0.000], [4.866, 1.605, 0.000], [-0.890, 0.000, 6.116]],
  "species": ["Ca", "Ca", "Mn", "Fe"],
  "fractional_positions": [[0.245, 0.245, 0.242], [0.755, 0.755, 0.758], [0.000, 0.000, 0.500], [0.500, 0.500, 0.000]]
}

No. 16
{
  "formula": "CaMnFe",
  "functional": "GGA-PBE",
  "state": "optimized geometry",
  "crystal_system": "cubic",
  "final_energy_ev_per_cell": -16.8,
  "n_ef_per_ev_fu": 7.494,
  "cell": [[0.000, 3.210, 3.210], [3.210, 0.000, 3.210], [3.210, 3.210, 0.000]],
  "species": ["Ca", "Mn", "Fe"],
  "fractional_positions": [[0.000, 0.000, 0.000], [0.500, 0.500, 0.500], [0.750, 0.750, 0.750]]
}

No. 17
{
  "formula": "CaMnFe",
  "functional": "GGA-PBE",
  "state": "optimized geometry",
  "crystal_system": "trigonal",
  "final_energy_ev_per_cell": -17.2,
  "n_ef_per_ev_fu": 3.848,
  "cell": [[3.057, 0.000, 0.000], [-1.528, 2.647, 0.000], [0.000, 0.000, 7.034]],
  "species": ["Ca", "Mn", "Fe"],
  "fractional_positions": [[0.000, 0.000, 0.000], [0.333, 0.667, 0.621], [0.667, 0.333, 0.349]]
}

No. 18
{
  "formula": "CaMnFe",
  "functional": "GGA-PBE",
  "state": "optimized geometry",
  "crystal_system": "tetragonal",
  "final_energy_ev_per_cell": -18.3,
  "n_ef_per_ev_fu": 3.453,
  "cell": [[-1.592, 1.592, 5.281], [1.592, -1.592, 5.281], [1.592, 1.592, -5.281]],
  "species": ["Ca", "Mn", "Fe"],
  "fractional_positions": [[0.000, 0.000, 0.000], [0.713, 0.713, 0.000], [0.295, 0.295, 0.000]]
}

No. 19
{
  "formula": "Ca2MnFe",
  "functional": "GGA-PBE",
  "state": "optimized geometry",
  "crystal_system": "tetragonal",
  "final_energy_ev_per_cell": -19.2,
  "n_ef_per_ev_fu": 7.252,
  "relative_energy_mev_per_atom": 248,
  "cell": [[5.226, 0.000, 0.000], [0.000, 5.226, 0.000], [0.000, 0.000, 3.439]],
  "species": ["Ca", "Ca", "Mn", "Fe"],
  "fractional_positions": [[0.000, 0.500, 0.000], [0.500, 0.000, 0.000], [0.000, 0.000, 0.500], [0.500, 0.500, 0.500]]
}

No. 20
{
  "formula": "CaMnFe",
  "functional": "GGA-PBE",
  "state": "optimized geometry",
  "crystal_system": "cubic",
  "final_energy_ev_per_cell": -15.4,
  "n_ef_per_ev_fu": 2.506,
  "cell": [[0.000, 3.338, 3.338], [3.338, 0.000, 3.338], [3.338, 3.338, 0.000]],
  "species": ["Ca", "Mn", "Fe"],
  "fractional_positions": [[0.000, 0.000, 0.000], [0.250, 0.250, 0.250], [0.750, 0.750, 0.750]]
}